Record 1
Below is Pr2MgCd4 after structural relaxation, with properties calculated at the PBE-GGA level.

- energy relative to the lowest polymorph listed for this composition (kJ per mole of atoms) = 22.3

abc: 5.0761 5.0761 16.4678
angles: 90.00 90.00 90.00
Space group I4/mmm (No. 139)
Unique sites:
Pr 0.0000 0.0000 0.1327 x4
Mg 0.0000 0.0000 0.5000 x2
Cd 0.0000 0.0000 0.3265 x4
Cd 0.0000 0.5000 0.0000 x4

Record 2
Below is Ho4Er3Th5 after structural relaxation, with properties calculated at the PBE-GGA level.

abc: 9.7719 5.7711 14.7152
angles: 90.00 108.34 90.00
Space group C2/m (No. 12)
Unique sites:
Ho 0.1709 0.0000 0.0063 x4
Ho 0.1729 0.5000 0.3562 x4
Er 0.0000 0.5000 0.5000 x2
Er 0.0517 0.0000 0.7546 x4
Th 0.0000 0.0000 0.5000 x2
Th 0.0571 0.5000 0.1220 x4
Th 0.2049 0.5000 0.7404 x4

Record 3
Below is K2Sb3Pt4Pb after structural relaxation, with properties calculated at the PBE-GGA level.

- formation energy from raw total energies (kJ/mol of formula units) = -410

abc: 4.8091 4.8091 10.6536
angles: 90.00 90.00 90.00
Space group P-4m2 (No. 115)
Unique sites:
K 0.0000 0.5000 0.2440 x2
Sb 0.0000 0.5000 0.8816 x2
Sb 0.5000 0.5000 0.5000 x1
Pt 0.0000 0.0000 0.0000 x1
Pt 0.0000 0.5000 0.6303 x2
Pt 0.5000 0.5000 0.0000 x1
Pb 0.0000 0.0000 0.5000 x1

E? In order: -2.042 -5.446 -4.669 eV/atom.